Computed, not measured: an optimized crystal structure of PuH2OsO8 at the PBE level of DFT.

final energy: -87.71 eV per cell
total magnetic moment: 0.168 μB/atom
density of states at the Fermi level: 0.49 states/eV per cell
space group: P-1 (2)

Cell: 5.043 5.194 6.498 Å, 87.79 81.24 76.69°
Positions (direct):
1 Pu 0.000 0.000 0.000
2 H 0.436 0.768 0.648
3 H 0.564 0.232 0.352
4 Os 0.000 0.000 0.500
5 O 0.170 0.796 0.252
6 O 0.235 0.769 0.692
7 O 0.241 0.204 0.981
8 O 0.247 0.198 0.446
9 O 0.753 0.802 0.554
10 O 0.759 0.796 0.019
11 O 0.765 0.231 0.308
12 O 0.830 0.204 0.748